(P)
Here is Tc3Cl after structural relaxation from the Alexandria database. Energies are from PBE.

Calculated values
Density: 9.26 g cm⁻³

Cell: 8.609 8.609 8.609 Å, 18.99 18.99 18.99°
Fractional positions:
Tc 0.749 0.749 0.749
Tc 0.251 0.251 0.251
Cl 0.000 0.000 0.000
Tc 0.500 0.500 0.500

(Q)
Here is Tc3Cl after structural relaxation from the Alexandria database. Energies are from PBE.

Calculated values
Density: 9.21 g cm⁻³

Cell: 4.988 4.988 4.988 Å, 135.83 135.83 64.24°
Fractional positions:
Tc 0.500 0.500 0.000
Tc 0.250 0.750 0.500
Cl 0.000 0.000 0.000
Tc 0.750 0.250 0.500

(R)
Here is Tc3Cl after structural relaxation from the Alexandria database. Energies are from PBE.

Calculated values
Density: 8.98 g cm⁻³

Cell: 2.814 2.814 8.754 Å, 90.00 90.00 118.50°
Fractional positions:
Tc 0.500 0.500 0.251
Cl 0.000 0.000 0.000
Tc 0.000 0.000 0.500
Tc 0.500 0.500 0.749

(S)
Here is Tc3Cl after structural relaxation from the Alexandria database. Energies are from PBE.

Calculated values
Density: 9.01 g cm⁻³

Cell: 2.839 4.379 4.883 Å, 90.00 90.00 90.00°
Fractional positions:
Tc 0.000 0.500 0.274
Cl 0.000 0.000 0.089
Tc 0.500 0.000 0.527
Tc 0.500 0.500 0.776

Short version: (Q) is the least stable of them.

(P)
Here is Tc3Cl after structural relaxation from the Alexandria database. Energies are from PBE.

Calculated values
Density: 9.31 g cm⁻³

Cell: 4.522 4.522 2.872 Å, 90.00 90.00 90.00°
Fractional positions:
Cl 0.000 0.000 0.000
Tc 0.500 0.500 0.000
Tc 0.000 0.500 0.500
Tc 0.500 0.000 0.500

(Q)
Here is Tc3Cl after structural relaxation from the Alexandria database. Energies are from PBE.

Calculated values
Density: 9.29 g cm⁻³

Cell: 2.869 2.869 7.156 Å, 90.00 90.00 90.00°
Fractional positions:
Tc 0.000 0.000 0.500
Tc 0.500 0.500 0.254
Tc 0.500 0.500 0.746
Cl 0.000 0.000 0.000

(R)
Here is Tc3Cl after structural relaxation from the Alexandria database. Energies are from PBE.

Calculated values
Density: 9.01 g cm⁻³

Cell: 5.104 5.371 8.856 Å, 90.00 90.00 90.00°
Fractional positions:
Tc 0.778 0.102 0.986
Tc 0.722 0.602 0.986
Tc 0.649 0.343 0.250
Tc 0.778 0.102 0.514
Tc 0.222 0.898 0.014
Tc 0.851 0.843 0.250
Tc 0.149 0.157 0.750
Cl 0.589 0.034 0.750
Cl 0.411 0.966 0.250
Cl 0.911 0.534 0.750
Tc 0.351 0.657 0.750
Tc 0.722 0.602 0.514
Tc 0.278 0.398 0.014
Tc 0.222 0.898 0.486
Cl 0.089 0.466 0.250
Tc 0.278 0.398 0.486

(S)
Here is Tc3Cl after structural relaxation from the Alexandria database. Energies are from PBE.

Calculated values
Density: 8.48 g cm⁻³

Cell: 5.144 5.144 4.991 Å, 90.00 90.00 102.27°
Fractional positions:
Tc 0.411 0.996 0.750
Tc 0.004 0.589 0.750
Tc 0.589 0.004 0.250
Tc 0.996 0.411 0.250
Tc 0.096 0.904 0.250
Cl 0.534 0.466 0.750
Tc 0.904 0.096 0.750
Cl 0.466 0.534 0.250

Short version: (P) is the least stable of them.

(P)
Here is Tc2Cl after structural relaxation from the Alexandria database. Energies are from PBE.

Calculated values
Density: 6.14 g cm⁻³

Cell: 7.905 7.905 5.613 Å, 79.89 79.89 21.26°
Fractional positions:
Tc 0.203 0.203 0.389
Tc 0.804 0.804 0.088
Tc 0.797 0.797 0.611
Cl 0.585 0.585 0.209
Tc 0.196 0.196 0.912
Cl 0.415 0.415 0.791

(Q)
Here is Tc2Cl after structural relaxation from the Alexandria database. Energies are from PBE.

Calculated values
Density: 8.35 g cm⁻³

Cell: 5.790 5.790 5.790 Å, 150.81 150.81 41.75°
Fractional positions:
Tc 0.321 0.321 0.000
Tc 0.679 0.679 0.000
Cl 0.000 0.000 0.000

Short version: (Q) is the least stable of them.

(P)
Here is Tc2Cl after structural relaxation from the Alexandria database. Energies are from PBE.

Calculated values
Density: 8.29 g cm⁻³

Cell: 3.993 3.993 2.906 Å, 90.00 90.00 90.00°
Fractional positions:
Cl 0.000 0.000 0.000
Tc 0.000 0.500 0.500
Tc 0.500 0.000 0.500

(Q)
Here is Tc2Cl after structural relaxation from the Alexandria database. Energies are from PBE.

Calculated values
Density: 8.43 g cm⁻³

Cell: 5.670 5.670 5.670 Å, 90.00 90.00 90.00°
Fractional positions:
Tc 0.676 0.824 0.824
Tc 0.824 0.176 0.324
Cl 0.500 0.500 0.000
Tc 0.176 0.676 0.176
Cl 0.000 0.000 0.000
Tc 0.324 0.324 0.676
Tc 0.176 0.824 0.676
Cl 0.000 0.500 0.500
Tc 0.676 0.676 0.324
Cl 0.500 0.000 0.500
Tc 0.824 0.324 0.824
Tc 0.324 0.176 0.176

Short version: (P) is the least stable of them.

(P)
Here is Tc2Cl after structural relaxation from the Alexandria database. Energies are from PBE.

Calculated values
Density: 6.16 g cm⁻³

Cell: 4.685 4.685 9.902 Å, 73.86 73.86 36.90°
Fractional positions:
Cl 0.016 0.016 0.961
Tc 0.545 0.545 0.478
Tc 0.277 0.277 0.804
Cl 0.179 0.179 0.289
Tc 0.024 0.024 0.709
Tc 0.792 0.792 0.593

(Q)
Here is Tc2Cl after structural relaxation from the Alexandria database. Energies are from PBE.

Calculated values
Density: 7.81 g cm⁻³

Cell: 5.755 5.755 6.691 Å, 64.79 64.79 29.66°
Fractional positions:
Cl 0.342 0.342 0.595
Tc 0.920 0.920 0.227
Tc 0.636 0.636 0.032
Tc 0.080 0.080 0.773
Tc 0.364 0.364 0.968
Cl 0.658 0.658 0.405

(R)
Here is Tc2Cl after structural relaxation from the Alexandria database. Energies are from PBE.

Calculated values
Density: 8.55 g cm⁻³

Cell: 2.882 2.882 6.252 Å, 90.00 90.00 120.00°
Fractional positions:
Tc 0.667 0.333 0.660
Cl 0.000 0.000 0.000
Tc 0.333 0.667 0.340

(S)
Here is Tc2Cl after structural relaxation from the Alexandria database. Energies are from PBE.

Calculated values
Density: 8.65 g cm⁻³

Cell: 4.645 4.645 4.645 Å, 143.81 130.56 62.78°
Fractional positions:
Tc 0.327 0.327 0.000
Cl 0.000 0.000 0.000
Tc 0.673 0.673 0.000

Short version: (S) is the least stable of them.

(P)
Here is Tc2Cl after structural relaxation from the Alexandria database. Energies are from PBE.

Calculated values
Density: 8.51 g cm⁻³

Cell: 7.010 7.010 4.521 Å, 90.00 90.00 156.01°
Fractional positions:
Cl 0.368 0.632 0.250
Tc 0.035 0.965 0.250
Tc 0.696 0.304 0.250
Cl 0.632 0.368 0.750
Tc 0.965 0.035 0.750
Tc 0.304 0.696 0.750

(Q)
Here is Tc2Cl after structural relaxation from the Alexandria database. Energies are from PBE.

Calculated values
Density: 8.68 g cm⁻³

Cell: 4.869 4.869 4.869 Å, 107.61 107.61 113.26°
Fractional positions:
Cl 0.750 0.750 0.000
Tc 0.651 0.849 0.500
Tc 0.151 0.651 0.802
Tc 0.349 0.151 0.500
Cl 0.250 0.250 0.000
Tc 0.849 0.349 0.198

Short version: (Q) is the least stable of them.